Record 1
Here is a geometry-optimized K3Mo structure from Alexandria. Energies are from GGA-PBE.

Properties
formation energy from the elements = 4.9 eV per formula unit
symmetry = P-6m2, No. 187

abc: 4.1484 4.1484 13.8051
angles: 90.00 90.00 120.00
Site moments in Bohr magnetons follow the coordinates.
Element x y z (fractional)
K 0.0000 0.0000 0.9536  0.01
K 0.0000 0.0000 0.5464  0.01
K 0.6667 0.3333 0.2500  0.00
Mo 0.6667 0.3333 0.7500  3.73

=====

Record 2
Here is a geometry-optimized KMo structure from Alexandria. Energies are from GGA-PBE.

Properties
formation energy from the elements = 1.6 eV per formula unit
symmetry = Cm, No. 8

abc: 14.9047 14.9047 4.3947
angles: 90.01 90.01 12.76
Element x y z (fractional)
K 0.9686 0.9686 0.0000
K 0.7293 0.7293 0.9994
K 0.5992 0.5992 0.5024
Mo 0.3099 0.3099 0.4993
Mo 0.3550 0.3550 0.9994
Mo 0.8712 0.8712 0.4994

=====

Record 3
Here is a geometry-optimized KMo structure from Alexandria. Energies are from GGA-PBE.

Properties
formation energy from the elements = 2.3 eV per formula unit
symmetry = Imma, No. 74

abc: 7.0643 7.0643 7.0643
angles: 153.24 124.93 62.26
Site moments in Bohr magnetons follow the coordinates.
Element x y z (fractional)
Mo 0.3078 0.8078 0.5000  0.09
Mo 0.4422 0.4422 0.0000  0.09
K 0.0240 0.0240 0.0000  0.01
K 0.7260 0.2260 0.5000  0.01

=====

Record 4
Here is a geometry-optimized K3Mo structure from Alexandria. Energies are from GGA-PBE.

Properties
formation energy from the elements = 2.9 eV per formula unit
symmetry = Cmcm, No. 63

abc: 10.3296 10.3296 4.2802
angles: 90.00 90.00 117.73
Element x y z (fractional)
K 0.7055 0.2945 0.7500
K 0.6943 0.8837 0.2500
K 0.8837 0.6943 0.7500
K 0.3057 0.1163 0.7500
K 0.2945 0.7055 0.2500
K 0.1163 0.3057 0.2500
Mo 0.4763 0.5237 0.7500
Mo 0.5237 0.4763 0.2500

=====

Record 5
Here is a geometry-optimized KMo structure from Alexandria. Energies are from GGA-PBE.

Properties
formation energy from the elements = 3.0 eV per formula unit
symmetry = I-43m, No. 217

abc: 10.3368 10.3368 10.3368
angles: 90.00 90.00 90.00
Site moments in Bohr magnetons follow the coordinates.
Element x y z (fractional)
K 0.2168 0.2168 0.2168  0.00
K 0.7832 0.7832 0.2168  0.00
K 0.2832 0.2832 0.7168  0.00
K 0.2832 0.7168 0.2832  0.00
K 0.7168 0.2832 0.2832  0.00
K 0.7168 0.7168 0.7168  0.00
K 0.7832 0.2168 0.7832  0.00
K 0.2168 0.7832 0.7832  0.00
Mo 0.0822 0.0822 0.9178  0.28
Mo 0.0822 0.9178 0.0822  0.28
Mo 0.9178 0.0822 0.0822  0.28
Mo 0.9178 0.9178 0.9178  0.28
Mo 0.4178 0.5822 0.5822  0.28
Mo 0.5822 0.4178 0.5822  0.28
Mo 0.4178 0.4178 0.4178  0.28
Mo 0.5822 0.5822 0.4178  0.28

=====

Record 6
Here is a geometry-optimized K2Mo structure from Alexandria. Energies are from GGA-PBE.

Properties
formation energy from the elements = 4.4 eV per formula unit
symmetry = P-3m1, No. 164

abc: 3.1156 3.1156 10.2455
angles: 90.00 90.00 120.00
Site moments in Bohr magnetons follow the coordinates.
Element x y z (fractional)
K 0.6667 0.3333 0.7092  0.00
K 0.3333 0.6667 0.2908  0.00
Mo 0.0000 0.0000 0.0000  0.18

=====

Record 7
Here is a geometry-optimized KMo structure from Alexandria. Energies are from GGA-PBE.

Properties
formation energy from the elements = 5.0 eV per formula unit
symmetry = Fm-3m, No. 225

abc: 5.1588 5.1588 5.1588
angles: 60.00 60.00 60.00
Site moments in Bohr magnetons follow the coordinates.
Element x y z (fractional)
K 0.0000 0.0000 0.0000  0.03
Mo 0.5000 0.5000 0.5000  3.95

=====

Record 8
Here is a geometry-optimized K2Mo structure from Alexandria. Energies are from GGA-PBE.

Properties
formation energy from the elements = 5.1 eV per formula unit
symmetry = P6_3/mmc, No. 194

abc: 7.6804 7.6804 10.4977
angles: 90.00 90.00 120.00
Site moments in Bohr magnetons follow the coordinates.
Element x y z (fractional)
Mo 0.6667 0.3333 0.9053  3.74
Mo 0.3333 0.6667 0.4053  3.74
Mo 0.6667 0.3333 0.5947  3.74
Mo 0.3333 0.6667 0.0947  3.74
K 0.8153 0.6306 0.2500  0.01
K 0.6306 0.8153 0.7500  0.01
K 0.0000 0.0000 0.5000  -0.01
K 0.8153 0.1847 0.2500  0.01
K 0.0000 0.0000 0.0000  -0.01
K 0.1847 0.8153 0.7500  0.01
K 0.3694 0.1847 0.2500  0.01
K 0.1847 0.3694 0.7500  0.01

=====

Record 9
Here is a geometry-optimized KMo structure from Alexandria. Energies are from GGA-PBE.

Properties
formation energy from the elements = 1.5 eV per formula unit
symmetry = Cm, No. 8

abc: 4.6228 4.6228 14.2088
angles: 86.17 86.17 53.96
Site moments in Bohr magnetons follow the coordinates.
Element x y z (fractional)
K 0.0420 0.0420 0.0599  0.01
K 0.6807 0.6807 0.4956  0.01
K 0.3583 0.3583 0.7780  0.00
Mo 0.7033 0.7033 0.2485  0.32
Mo 0.3619 0.3619 0.2777  -0.12
Mo 0.0205 0.0205 0.3069  0.32

=====

Record 10
Here is a geometry-optimized KMo structure from Alexandria. Energies are from GGA-PBE.

Properties
formation energy from the elements = 2.8 eV per formula unit
symmetry = Fddd, No. 70

abc: 6.5909 15.8809 10.3530
angles: 90.00 90.00 90.00
Element x y z (fractional)
Mo 0.0000 0.5641 0.5000
Mo 0.7500 0.6859 0.7500
Mo 0.0000 0.9359 0.0000
Mo 0.0000 0.0641 0.0000
Mo 0.2500 0.3141 0.7500
Mo 0.5000 0.5641 0.0000
Mo 0.5000 0.9359 0.5000
Mo 0.7500 0.3141 0.2500
Mo 0.0000 0.4359 0.5000
Mo 0.2500 0.8141 0.2500
Mo 0.7500 0.1859 0.2500
Mo 0.5000 0.0641 0.5000
Mo 0.2500 0.6859 0.2500
Mo 0.7500 0.8141 0.7500
Mo 0.2500 0.1859 0.7500
Mo 0.5000 0.4359 0.0000
K 0.2500 0.2500 0.4112
K 0.2500 0.7500 0.5888
K 0.7500 0.2500 0.9112
K 0.7500 0.7500 0.0888
K 0.5000 0.5000 0.3388
K 0.5000 0.0000 0.8388
K 0.7500 0.7500 0.4112
K 0.5000 0.0000 0.1612
K 0.0000 0.5000 0.1612
K 0.7500 0.2500 0.5888
K 0.2500 0.2500 0.0888
K 0.0000 0.0000 0.3388
K 0.2500 0.7500 0.9112
K 0.0000 0.5000 0.8388
K 0.0000 0.0000 0.6612
K 0.5000 0.5000 0.6612

=====

Record 11
Here is a geometry-optimized KMo structure from Alexandria. Energies are from GGA-PBE.

Properties
formation energy from the elements = 2.3 eV per formula unit
symmetry = Pnma, No. 62

abc: 3.1982 6.9154 12.4326
angles: 90.00 90.00 90.00
Element x y z (fractional)
K 0.7500 0.9088 0.1594
K 0.7500 0.5912 0.6594
K 0.2500 0.4088 0.3406
K 0.2500 0.0912 0.8406
Mo 0.2500 0.5761 0.9489
Mo 0.2500 0.9239 0.4489
Mo 0.7500 0.0761 0.5511
Mo 0.7500 0.4239 0.0511

=====

Record 12
Here is a geometry-optimized KMo structure from Alexandria. Energies are from GGA-PBE.

Properties
formation energy from the elements = 2.1 eV per formula unit
symmetry = C2/m, No. 12

abc: 4.5964 4.5964 10.3454
angles: 87.70 87.70 38.25
Element x y z (fractional)
K 0.9933 0.9933 0.0820
K 0.7567 0.7567 0.6680
Mo 0.5041 0.5041 0.3918
Mo 0.2459 0.2459 0.3582

=====

Record 13
Here is a geometry-optimized K4Mo5 structure from Alexandria. Energies are from GGA-PBE.

Properties
formation energy from the elements = 14.6 eV per formula unit
symmetry = P6_3/mcm, No. 193

abc: 9.5576 9.5576 5.0314
angles: 90.00 90.00 120.00
Element x y z (fractional)
Mo 0.6667 0.3333 0.5000
Mo 0.5530 0.5530 0.7500
Mo 0.3333 0.6667 0.0000
Mo 0.3333 0.6667 0.5000
Mo 0.5530 0.0000 0.2500
Mo 0.4470 0.4470 0.2500
Mo 0.6667 0.3333 0.0000
Mo 0.0000 0.5530 0.2500
Mo 0.4470 0.0000 0.7500
Mo 0.0000 0.4470 0.7500
K 0.2638 0.0000 0.2500
K 0.7362 0.0000 0.7500
K 0.0000 0.7362 0.7500
K 0.7362 0.7362 0.2500
K 0.0000 0.2638 0.2500
K 0.2638 0.2638 0.7500
K 0.0000 0.0000 0.5000
K 0.0000 0.0000 0.0000

=====

Record 14
Here is a geometry-optimized KMo structure from Alexandria. Energies are from GGA-PBE.

Properties
formation energy from the elements = 2.0 eV per formula unit
symmetry = Pnma, No. 62

abc: 10.6019 4.6695 11.7181
angles: 90.00 90.00 90.00
Element x y z (fractional)
Mo 0.9257 0.7500 0.0025
Mo 0.3768 0.2500 0.4253
Mo 0.8768 0.2500 0.0747
Mo 0.4257 0.7500 0.4975
Mo 0.0743 0.2500 0.9975
Mo 0.1232 0.7500 0.9253
Mo 0.5743 0.2500 0.5025
Mo 0.6232 0.7500 0.5747
K 0.3597 0.2500 0.7414
K 0.1126 0.7500 0.6041
K 0.3874 0.2500 0.1041
K 0.6126 0.7500 0.8959
K 0.8874 0.2500 0.3959
K 0.6403 0.7500 0.2586
K 0.1403 0.7500 0.2414
K 0.8597 0.2500 0.7586

=====

Record 15
Here is a geometry-optimized KMo structure from Alexandria. Energies are from GGA-PBE.

Properties
formation energy from the elements = 3.1 eV per formula unit
symmetry = P4/mmm, No. 123

abc: 2.7221 2.7221 6.1786
angles: 90.00 90.00 90.00
Site moments in Bohr magnetons follow the coordinates.
Element x y z (fractional)
Mo 0.5000 0.5000 0.5000  0.36
K 0.0000 0.0000 0.0000  0.03

=====

Record 16
Here is a geometry-optimized K3Mo structure from Alexandria. Energies are from GGA-PBE.

Properties
formation energy from the elements = 4.6 eV per formula unit
symmetry = P2/m, No. 10

abc: 4.4060 4.3151 12.0585
angles: 69.36 90.00 90.00
Site moments in Bohr magnetons follow the coordinates.
Element x y z (fractional)
K 0.0000 0.5617 0.4400  0.01
K 0.5000 0.7500 0.7500  0.00
K 0.0000 0.9383 0.0600  0.01
Mo 0.5000 0.2500 0.2500  3.83

=====

Record 17
Here is a geometry-optimized K3Mo structure from Alexandria. Energies are from GGA-PBE.

Properties
formation energy from the elements = 4.8 eV per formula unit
symmetry = Pmm2, No. 25

abc: 3.9527 6.5711 7.4634
angles: 90.00 90.00 90.00
Site moments in Bohr magnetons follow the coordinates.
Element x y z (fractional)
K 0.5000 0.0000 0.4941  0.00
K 0.0000 0.0000 0.0445  0.00
K 0.5000 0.5000 0.8104  0.00
Mo 0.0000 0.5000 0.3176  3.75

=====

Record 18
Here is a geometry-optimized K2Mo structure from Alexandria. Energies are from GGA-PBE.

Properties
formation energy from the elements = 3.2 eV per formula unit
symmetry = I4/mcm, No. 140

abc: 7.3995 7.3995 7.3995
angles: 95.78 95.78 143.01
Element x y z (fractional)
K 0.6609 0.8391 0.5000
K 0.1609 0.6609 0.8218
K 0.3391 0.1609 0.5000
K 0.8391 0.3391 0.1782
Mo 0.2500 0.2500 0.0000
Mo 0.7500 0.7500 0.0000

=====

Record 19
Here is a geometry-optimized KMo structure from Alexandria. Energies are from GGA-PBE.

Properties
formation energy from the elements = 3.7 eV per formula unit
symmetry = Fd-3m, No. 227

abc: 4.9991 4.9991 4.9991
angles: 60.00 60.00 60.00
Element x y z (fractional)
K 0.0000 0.0000 0.0000
K 0.2500 0.2500 0.2500
Mo 0.5000 0.5000 0.5000
Mo 0.7500 0.7500 0.7500

=====

Record 20
Here is a geometry-optimized KMo structure from Alexandria. Energies are from GGA-PBE.

Properties
formation energy from the elements = 1.8 eV per formula unit
symmetry = P-3m1, No. 164

abc: 3.3745 3.3745 11.9578
angles: 90.00 90.00 120.00
Element x y z (fractional)
Mo 0.6667 0.3333 0.6893
Mo 0.0000 0.0000 0.5607
K 0.6667 0.3333 0.3001
K 0.0000 0.0000 0.9499